1.
V2PF2 | GGA+U | optimized geometry

Lattice parameters (Å, degrees): 4.894 4.894 4.894 129.15 129.15 74.76
Sites, in units of the cell vectors:
V 0.250 0.750 0.500
V 0.750 0.250 0.500
P 0.000 0.000 0.000
F 0.346 0.346 0.000
F 0.654 0.654 0.000

Output
The calculation puts the volume at 68.65 Å³ per cell.



2.
VP2F | GGA+U | optimized geometry

Lattice parameters (Å, degrees): 4.205 4.205 4.205 60.00 60.00 60.00
Sites, in units of the cell vectors:
V 0.000 0.000 0.000
P 0.250 0.250 0.250
P 0.750 0.750 0.750
F 0.500 0.500 0.500

Output
The calculation puts the volume at 52.57 Å³ per cell.



3.
VPF3 | GGA+U | optimized geometry

Lattice parameters (Å, degrees): 4.257 4.257 4.257 90.00 90.00 90.00
Sites, in units of the cell vectors:
V 0.000 0.000 0.000
P 0.500 0.500 0.500
F 0.000 0.500 0.500
F 0.500 0.000 0.500
F 0.500 0.500 0.000

Output
The calculation puts the volume at 77.13 Å³ per cell.



4.
V2PF2 | GGA+U | optimized geometry

Lattice parameters (Å, degrees): 7.205 7.205 2.924 90.00 90.00 90.00
Sites, in units of the cell vectors:
V 0.244 0.256 0.000
V 0.256 0.756 0.000
V 0.744 0.244 0.000
V 0.756 0.744 0.000
P 0.000 0.000 0.500
P 0.500 0.500 0.500
F 0.114 0.614 0.500
F 0.386 0.114 0.500
F 0.614 0.886 0.500
F 0.886 0.386 0.500

Output
The calculation puts the volume at 151.80 Å³ per cell.



5.
VPF2 | GGA+U | optimized geometry

Lattice parameters (Å, degrees): 7.985 7.985 7.985 153.55 153.55 37.76
Sites, in units of the cell vectors:
V 0.000 0.000 0.000
V 0.750 0.250 0.500
P 0.250 0.750 0.500
P 0.500 0.500 0.000
F 0.105 0.625 0.980
F 0.375 0.355 0.480
F 0.645 0.125 0.020
F 0.875 0.895 0.520

Output
The calculation puts the volume at 100.90 Å³ per cell.



6.
V3PF | GGA+U | optimized geometry

Lattice parameters (Å, degrees): 4.791 4.791 4.791 90.00 90.00 90.00
Sites, in units of the cell vectors:
V 0.000 0.000 0.500
V 0.000 0.500 0.000
V 0.500 0.000 0.000
P 0.000 0.000 0.000
F 0.500 0.500 0.500

Output
The calculation puts the volume at 109.97 Å³ per cell.



7.
VP3F | GGA+U | optimized geometry

Lattice parameters (Å, degrees): 4.461 4.461 4.461 90.00 90.00 90.00
Sites, in units of the cell vectors:
V 0.000 0.000 0.000
P 0.000 0.000 0.500
P 0.000 0.500 0.000
P 0.500 0.000 0.000
F 0.500 0.500 0.500

Output
The calculation puts the volume at 88.75 Å³ per cell.



8.
VPF | GGA+U | optimized geometry

Lattice parameters (Å, degrees): 8.035 8.035 2.788 90.00 90.00 90.00
Sites, in units of the cell vectors:
V 0.224 0.232 0.000
V 0.232 0.776 0.500
V 0.768 0.224 0.500
V 0.776 0.768 0.000
P 0.219 0.476 0.500
P 0.476 0.781 0.000
P 0.524 0.219 0.000
P 0.781 0.524 0.500
F 0.046 0.798 0.000
F 0.202 0.046 0.500
F 0.798 0.954 0.500
F 0.954 0.202 0.000

Output
The calculation puts the volume at 180.04 Å³ per cell.



Number 1: size of the total moment 5.00 μB per cell, electronic total energy -5.6280 eV/atom. Number 2: size of the total moment 0.00 μB per cell, electronic total energy -4.8910 eV/atom. Number 3: size of the total moment 4.01 μB per cell, electronic total energy -4.2441 eV/atom. Number 4: size of the total moment 11.50 μB per cell, electronic total energy -5.6316 eV/atom. Number 5: size of the total moment 4.24 μB per cell, electronic total energy -5.0716 eV/atom. Number 6: size of the total moment 10.99 μB per cell, electronic total energy -5.3919 eV/atom. Number 7: size of the total moment 0.00 μB per cell, electronic total energy -4.7775 eV/atom. Number 8: size of the total moment 4.67 μB per cell, electronic total energy -5.8277 eV/atom.